Material: Mn2CrBr
Method: DFT, meta-GGA SCAN
State: PBEsol geometry

a = 3.837 Å, b = 3.837 Å, c = 7.794 Å
α = 90.00°, β = 90.00°, γ = 90.00°
Space group I4/mmm (No. 139)
Symmetry-distinct sites (fractional):
1 Mn 0.000 0.500 0.250 (multiplicity 4)
2 Cr 0.000 0.000 0.000 (multiplicity 2)
3 Br 0.000 0.000 0.500 (multiplicity 2)

Results
Energy relative to the lowest polymorph listed for this composition ... 0.0 meV per atom
Crystal system ... tetragonal

---

Material: MnCr2MoBr
Method: DFT, meta-GGA SCAN
State: PBEsol geometry

a = 4.320 Å, b = 4.320 Å, c = 4.503 Å
α = 90.00°, β = 90.00°, γ = 90.00°
Space group P4/mmm (No. 123)
Symmetry-distinct sites (fractional):
1 Mn 0.000 0.000 0.000 (multiplicity 1)
2 Cr 0.000 0.500 0.000 (multiplicity 2)
3 Mo 0.500 0.500 0.500 (multiplicity 1)
4 Br 0.000 0.000 0.500 (multiplicity 1)

Results
Crystal system ... tetragonal

---

Material: Cr2MoBr
Method: DFT, meta-GGA SCAN
State: PBEsol geometry

a = 6.026 Å, b = 6.026 Å, c = 6.026 Å
α = 90.00°, β = 90.00°, γ = 90.00°
Space group Fm-3m (No. 225)
Symmetry-distinct sites (fractional):
1 Cr 0.250 0.250 0.250 (multiplicity 8)
2 Mo 0.000 0.000 0.000 (multiplicity 4)
3 Br 0.000 0.000 0.500 (multiplicity 4)

Results
Crystal system ... cubic

---

Material: CrBrN2
Method: DFT, meta-GGA SCAN
State: PBEsol geometry

a = 7.931 Å, b = 7.931 Å, c = 7.931 Å
α = 90.00°, β = 90.00°, γ = 90.00°
Space group Fd-3m (No. 227, origin choice 2)
Symmetry-distinct sites (fractional):
1 Cr 0.125 0.125 0.125 (multiplicity 8)
2 Br 0.125 0.125 0.625 (multiplicity 8)
3 N 0.000 0.000 0.000 (multiplicity 16)

Results
Energy relative to the lowest polymorph listed for this composition ... 0.0 meV per atom
Crystal system ... cubic

---

Material: CrBr3N
Method: DFT, meta-GGA SCAN
State: PBEsol geometry

a = 4.973 Å, b = 4.973 Å, c = 4.973 Å
α = 90.00°, β = 90.00°, γ = 90.00°
Space group Pm-3m (No. 221)
Symmetry-distinct sites (fractional):
1 Cr 0.000 0.000 0.000 (multiplicity 1)
2 Br 0.000 0.000 0.500 (multiplicity 3)
3 N 0.500 0.500 0.500 (multiplicity 1)

Results
Crystal system ... cubic

---

Material: CrBrN2
Method: DFT, meta-GGA SCAN
State: PBEsol geometry

a = 2.9798 Å, b = 2.9798 Å, c = 18.2287 Å
α = 90.00°, β = 90.00°, γ = 120.00°
Space group R-3m (No. 166, hexagonal axes)
Symmetry-distinct sites (fractional):
1 Cr 0.0000 0.0000 0.0000 (multiplicity 3)
2 Br 0.0000 0.0000 0.5000 (multiplicity 3)
3 N 0.0000 0.0000 0.3874 (multiplicity 6)

Results
Energy relative to the lowest polymorph listed for this composition ... 72.8 meV per atom
Crystal system ... trigonal

---

Raw formation energy? In order: 0.407; 1.321; 1.203; 0.257; 0.356; 0.330 eV per atom.